Pa3SiGe | Alexandria via LeMat-Bulk | PBE | optimized geometry; raw formation energy = -0.12 eV per atom; crystal system = hexagonal; SG = P6_3/mmc (194)
1.0
6.9396 0.0000 0.0000
-3.4698 6.0099 0.0000
0.0000 0.0000 5.5396
Pa Si Ge
6 2 2
Direct
0.1991 0.3983 0.2500
0.1991 0.8009 0.2500
0.3983 0.1991 0.7500
0.6017 0.8009 0.2500
0.8009 0.1991 0.7500
0.8009 0.6017 0.7500
0.0000 0.0000 0.0000
0.0000 0.0000 0.5000
0.3333 0.6667 0.7500
0.6667 0.3333 0.2500

PaSiTcGe | Alexandria via LeMat-Bulk | PBE | optimized geometry; raw formation energy = -0.48 eV per atom; crystal system = tetragonal; SG = P4/nmm (129)
1.0
4.2182 0.0000 0.0000
0.0000 4.2182 0.0000
0.0000 0.0000 8.6831
Pa Si Tc Ge
2 2 2 2
Direct
0.2500 0.2500 0.2495
0.7500 0.7500 0.7505
0.2500 0.2500 0.6426
0.7500 0.7500 0.3574
0.2500 0.7500 0.5000
0.7500 0.2500 0.5000
0.2500 0.2500 0.9193
0.7500 0.7500 0.0807

Pa4SiGeTe2 | Alexandria via LeMat-Bulk | PBE | optimized geometry; raw formation energy = -0.59 eV per atom; crystal system = monoclinic; SG = P2/m (10)
1.0
7.2430 0.0000 0.0000
0.0000 4.1802 0.0000
-2.4115 0.0000 7.0400
Pa Si Ge Te
4 1 1 2
Direct
0.2335 0.0000 0.2167
0.2545 0.5000 0.7801
0.7455 0.5000 0.2199
0.7665 0.0000 0.7833
0.0000 0.5000 0.0000
0.5000 0.0000 0.0000
0.0000 0.0000 0.5000
0.5000 0.5000 0.5000

SmPaGe | Alexandria via LeMat-Bulk | PBE | optimized geometry; crystal system = trigonal; offset from the most stable computed form = 0.213 eV per atom; energy of formation from the pure elements = 0.04 eV per atom; SG = P3m1 (156)
1.0
5.0101 0.0000 0.0000
-2.5051 4.3389 0.0000
0.0000 0.0000 3.4938
Sm Pa Ge
1 1 1
Direct
0.0000 0.0000 0.0000
0.6667 0.3333 0.4580
0.3333 0.6667 0.7327

SmPa5Ge6 | Alexandria via LeMat-Bulk | PBE | optimized geometry; crystal system = monoclinic; energy of formation from the pure elements = -0.50 eV per atom; SG = C2/m (12)
1.0
3.5960 -6.2275 0.0000
3.5960 6.2275 0.0000
-2.3947 0.0000 6.7809
Sm Pa Ge
1 5 6
Direct
0.0000 0.0000 0.0000
0.1652 0.8348 0.5000
0.3328 0.6672 0.0000
0.5000 0.5000 0.5000
0.6672 0.3328 0.0000
0.8348 0.1652 0.5000
0.0848 0.4242 0.2537
0.2554 0.2554 0.7471
0.4242 0.0848 0.2537
0.5758 0.9152 0.7463
0.7446 0.7446 0.2529
0.9152 0.5758 0.7463

SmPaGe | Alexandria via LeMat-Bulk | PBE | optimized geometry; crystal system = tetragonal; offset from the most stable computed form = 0.000 eV per atom; energy of formation from the pure elements = -0.17 eV per atom; SG = P4/nmm (129)
1.0
4.0969 0.0000 0.0000
0.0000 4.0969 0.0000
0.0000 0.0000 9.4233
Sm Pa Ge
2 2 2
Direct
0.2500 0.2500 0.1754
0.7500 0.7500 0.8246
0.2500 0.2500 0.5597
0.7500 0.7500 0.4403
0.2500 0.2500 0.8607
0.7500 0.7500 0.1393

SmPa3Ge4 | Alexandria via LeMat-Bulk | PBE | optimized geometry; crystal system = tetragonal; energy of formation from the pure elements = -0.47 eV per atom; SG = P4/mmm (123)
1.0
7.6011 0.0000 0.0000
0.0000 7.6011 0.0000
0.0000 0.0000 3.0861
Sm Pa Ge
1 3 4
Direct
0.0000 0.0000 0.0000
0.0000 0.5000 0.0000
0.5000 0.0000 0.0000
0.5000 0.5000 0.0000
0.2547 0.2547 0.5000
0.2547 0.7453 0.5000
0.7453 0.2547 0.5000
0.7453 0.7453 0.5000

SmPa2Ge3 | Alexandria via LeMat-Bulk | PBE | optimized geometry; crystal system = monoclinic; energy of formation from the pure elements = -0.48 eV per atom; SG = P2_1/c (14)
1.0
6.2046 0.0000 0.0000
0.0000 15.9981 0.0000
-3.2550 0.0000 5.4686
Sm Pa Ge
4 8 12
Direct
0.2423 0.0798 0.0791
0.2423 0.4202 0.5791
0.7577 0.5798 0.4209
0.7577 0.9202 0.9209
0.2527 0.7462 0.5867
0.2527 0.7538 0.0867
0.2539 0.0838 0.5880
0.2539 0.4162 0.0880
0.7461 0.5838 0.9120
0.7461 0.9162 0.4120
0.7473 0.2462 0.9133
0.7473 0.2538 0.4133
0.2444 0.5860 0.3558
0.2444 0.9140 0.8558
0.2475 0.2486 0.3725
0.2475 0.2514 0.8725
0.2575 0.5845 0.8939
0.2575 0.9155 0.3939
0.7425 0.0845 0.6061
0.7425 0.4155 0.1061
0.7525 0.7486 0.1275
0.7525 0.7514 0.6275
0.7556 0.0860 0.1442
0.7556 0.4140 0.6442

PaSn2Ge | Alexandria via LeMat-Bulk | PBE | optimized geometry; crystal system = tetragonal; offset from the most stable computed form = 0.230 eV per atom; energy of formation from the pure elements = -0.10 eV per atom; SG = P4/mmm (123)
1.0
3.9488 0.0000 0.0000
0.0000 3.9488 0.0000
0.0000 0.0000 6.2144
Pa Sn Ge
1 2 1
Direct
0.0000 0.0000 0.0000
0.5000 0.5000 0.2645
0.5000 0.5000 0.7355
0.0000 0.0000 0.5000

Pa15Sn4Ge | Alexandria via LeMat-Bulk | PBE | optimized geometry; crystal system = tetragonal; energy of formation from the pure elements = -0.21 eV per atom; SG = P4/mmm (123)
1.0
4.5905 0.0000 0.0000
0.0000 4.5905 0.0000
0.0000 0.0000 23.1317
Pa Sn Ge
15 4 1
Direct
0.0000 0.0000 0.0000
0.0000 0.0000 0.1953
0.0000 0.0000 0.3986
0.0000 0.0000 0.6014
0.0000 0.0000 0.8047
0.0000 0.5000 0.0933
0.0000 0.5000 0.2972
0.0000 0.5000 0.5000
0.0000 0.5000 0.7028
0.0000 0.5000 0.9067
0.5000 0.0000 0.0933
0.5000 0.0000 0.2972
0.5000 0.0000 0.5000
0.5000 0.0000 0.7028
0.5000 0.0000 0.9067
0.5000 0.5000 0.1954
0.5000 0.5000 0.3986
0.5000 0.5000 0.6014
0.5000 0.5000 0.8046
0.5000 0.5000 0.0000

Pa2SnGe | Alexandria via LeMat-Bulk | PBE | optimized geometry; crystal system = tetragonal; offset from the most stable computed form = 0.000 eV per atom; energy of formation from the pure elements = -0.27 eV per atom; SG = P4/mmm (123)
1.0
3.4490 0.0000 0.0000
0.0000 3.4490 0.0000
0.0000 0.0000 8.0274
Pa Sn Ge
2 1 1
Direct
0.0000 0.0000 0.2192
0.0000 0.0000 0.7808
0.5000 0.5000 0.5000
0.5000 0.5000 0.0000

Pa2SnGe | Alexandria via LeMat-Bulk | PBE | optimized geometry; crystal system = trigonal; offset from the most stable computed form = 0.417 eV per atom; energy of formation from the pure elements = 0.15 eV per atom; SG = R-3m (166)
1.0
1.5954 0.9211 11.4269
-1.5954 0.9211 11.4269
0.0000 -1.8422 11.4269
Pa Sn Ge
2 1 1
Direct
0.0853 0.0853 0.0853
0.9147 0.9147 0.9147
0.5000 0.5000 0.5000
0.0000 0.0000 0.0000

Pa2SnGe | Alexandria via LeMat-Bulk | PBE | optimized geometry; crystal system = tetragonal; offset from the most stable computed form = 0.077 eV per atom; energy of formation from the pure elements = -0.19 eV per atom; SG = P4/mmm (123)
1.0
4.7414 0.0000 0.0000
0.0000 4.7414 0.0000
0.0000 0.0000 4.2351
Pa Sn Ge
2 1 1
Direct
0.0000 0.5000 0.0000
0.5000 0.0000 0.0000
0.0000 0.0000 0.5000
0.5000 0.5000 0.5000

PaSn2Ge | Alexandria via LeMat-Bulk | PBE | optimized geometry; crystal system = tetragonal; offset from the most stable computed form = 0.000 eV per atom; energy of formation from the pure elements = -0.33 eV per atom; SG = P4/mmm (123)
1.0
4.3991 0.0000 0.0000
0.0000 4.3991 0.0000
0.0000 0.0000 4.8148
Pa Sn Ge
1 2 1
Direct
0.0000 0.0000 0.0000
0.0000 0.5000 0.5000
0.5000 0.0000 0.5000
0.5000 0.5000 0.0000

PaSn2Ge | Alexandria via LeMat-Bulk | PBE | optimized geometry; crystal system = trigonal; offset from the most stable computed form = 0.658 eV per atom; energy of formation from the pure elements = 0.33 eV per atom; SG = R-3m (166)
1.0
1.6081 0.9285 11.5063
-1.6081 0.9285 11.5063
0.0000 -1.8569 11.5063
Pa Sn Ge
1 2 1
Direct
0.0000 0.0000 0.0000
0.0933 0.0933 0.0933
0.9067 0.9067 0.9067
0.5000 0.5000 0.5000

PaTa3Ge2 | Alexandria via LeMat-Bulk | PBE | optimized geometry; crystal system = monoclinic; energy of formation from the pure elements = -0.22 eV per atom; SG = C2/m (12)
1.0
8.9269 -1.8022 0.0000
8.9269 1.8022 0.0000
-3.7509 0.0000 7.3352
Pa Ta Ge
2 6 4
Direct
0.1409 0.1409 0.0608
0.8591 0.8591 0.9392
0.0533 0.0533 0.4075
0.3167 0.3167 0.5622
0.4073 0.4073 0.2952
0.5927 0.5927 0.7048
0.6833 0.6833 0.4378
0.9467 0.9467 0.5925
0.2096 0.2096 0.7246
0.4793 0.4793 0.8409
0.5207 0.5207 0.1591
0.7904 0.7904 0.2754

Pa3TaGe5 | Alexandria via LeMat-Bulk | PBE | optimized geometry; crystal system = hexagonal; energy of formation from the pure elements = -0.55 eV per atom; SG = P6_3/mcm (193)
1.0
8.5794 0.0000 0.0000
-4.2897 7.4300 0.0000
0.0000 0.0000 5.8012
Pa Ta Ge
6 2 10
Direct
0.0000 0.3839 0.2500
0.0000 0.6161 0.7500
0.3839 0.0000 0.2500
0.3839 0.3839 0.7500
0.6161 0.0000 0.7500
0.6161 0.6161 0.2500
0.0000 0.0000 0.0000
0.0000 0.0000 0.5000
0.0000 0.2678 0.7500
0.0000 0.7322 0.2500
0.2678 0.0000 0.7500
0.2678 0.2678 0.2500
0.3333 0.6667 0.0000
0.3333 0.6667 0.5000
0.6667 0.3333 0.0000
0.6667 0.3333 0.5000
0.7322 0.0000 0.2500
0.7322 0.7322 0.7500

PaTa2Ge2 | Alexandria via LeMat-Bulk | PBE | optimized geometry; crystal system = tetragonal; energy of formation from the pure elements = -0.34 eV per atom; SG = I4/mmm (139)
1.0
-2.0231 2.0231 5.9846
2.0231 -2.0231 5.9846
2.0231 2.0231 -5.9846
Pa Ta Ge
1 2 2
Direct
0.0000 0.0000 0.0000
0.2500 0.7500 0.5000
0.7500 0.2500 0.5000
0.3969 0.3969 0.0000
0.6031 0.6031 0.0000

TbPaGe | Alexandria via LeMat-Bulk | PBE | optimized geometry; crystal system = trigonal; offset from the most stable computed form = 0.183 eV per atom; energy of formation from the pure elements = 0.01 eV per atom; SG = P3m1 (156)
1.0
4.9753 0.0000 0.0000
-2.4877 4.3087 0.0000
0.0000 0.0000 3.4764
Tb Pa Ge
1 1 1
Direct
0.0000 0.0000 0.0000
0.3333 0.6667 0.5289
0.6667 0.3333 0.2326

TbPa3Ge4 | Alexandria via LeMat-Bulk | PBE | optimized geometry; crystal system = tetragonal; energy of formation from the pure elements = -0.48 eV per atom; SG = P4/mmm (123)
1.0
7.5606 0.0000 0.0000
0.0000 7.5606 0.0000
0.0000 0.0000 3.0843
Tb Pa Ge
1 3 4
Direct
0.0000 0.0000 0.0000
0.0000 0.5000 0.0000
0.5000 0.0000 0.0000
0.5000 0.5000 0.0000
0.2525 0.2525 0.5000
0.2525 0.7475 0.5000
0.7475 0.2525 0.5000
0.7475 0.7475 0.5000

TbPaGe2 | Alexandria via LeMat-Bulk | PBE | optimized geometry; crystal system = trigonal; offset from the most stable computed form = 0.000 eV per atom; energy of formation from the pure elements = -0.63 eV per atom; SG = R-3m (166)
1.0
2.0905 1.2069 6.7096
-2.0905 1.2069 6.7096
0.0000 -2.4139 6.7096
Tb Pa Ge
1 1 2
Direct
0.0000 0.0000 0.0000
0.5000 0.5000 0.5000
0.2467 0.2467 0.2467
0.7533 0.7533 0.7533

TbPaGe | Alexandria via LeMat-Bulk | PBE | optimized geometry; crystal system = orthorhombic; offset from the most stable computed form = 0.000 eV per atom; energy of formation from the pure elements = -0.18 eV per atom; SG = Pnma (62)
1.0
6.1935 0.0000 0.0000
0.0000 3.8654 0.0000
0.0000 0.0000 13.6851
Tb Pa Ge
4 4 4
Direct
0.2392 0.2500 0.0303
0.2608 0.7500 0.5303
0.7392 0.2500 0.4697
0.7608 0.7500 0.9697
0.1936 0.7500 0.7918
0.3064 0.2500 0.2918
0.6936 0.7500 0.7082
0.8064 0.2500 0.2082
0.0107 0.2500 0.6454
0.4893 0.7500 0.1454
0.5107 0.2500 0.8546
0.9893 0.7500 0.3546

TbPaGe2 | Alexandria via LeMat-Bulk | PBE | optimized geometry; crystal system = tetragonal; offset from the most stable computed form = 0.138 eV per atom; energy of formation from the pure elements = -0.49 eV per atom; SG = P4/mmm (123)
1.0
3.3384 0.0000 0.0000
0.0000 3.3384 0.0000
0.0000 0.0000 7.9645
Tb Pa Ge
1 1 2
Direct
0.0000 0.0000 0.0000
0.0000 0.0000 0.5000
0.5000 0.5000 0.2512
0.5000 0.5000 0.7488

TbPaGe2 | Alexandria via LeMat-Bulk | PBE | optimized geometry; crystal system = tetragonal; offset from the most stable computed form = 0.002 eV per atom; energy of formation from the pure elements = -0.63 eV per atom; SG = I4_1/amd (141)
1.0
-2.9341 2.9341 5.8875
2.9341 -2.9341 5.8875
2.9341 2.9341 -5.8875
Tb Pa Ge
2 2 4
Direct
0.3750 0.6250 0.7500
0.6250 0.3750 0.2500
0.1250 0.8750 0.2500
0.8750 0.1250 0.7500
0.1200 0.3700 0.7500
0.3700 0.1200 0.2500
0.6300 0.8800 0.7500
0.8800 0.6300 0.2500